Record 1
## TlIrPt2 (PBE)

Data for a relaxed TlIrPt2 crystal.

Cell lengths 3.421, 3.421, 5.904 Å; angles 90.00, 90.00, 90.00 degrees
Element x y z (fractional)
Tl1 0.000 0.000 0.000
Ir1 0.500 0.500 0.283
Pt1 0.000 0.000 0.490
Pt2 0.500 0.500 0.739

Properties
* raw total energy: -22.2 eV/cell
* ΔH_f (0 K): 0.288 eV per atom
* ΔE to the lowest computed polymorph: 0.0966 eV/atom
* D(E_F): 2.5 states/eV/cell

=====

Record 2
## TlIr4Pt (PBE)

Data for a relaxed TlIr4Pt crystal.

Cell lengths 5.247, 5.247, 5.247 Å; angles 60.00, 60.00, 60.00 degrees
Element x y z (fractional)
Tl1 0.000 0.000 0.000
Ir1 0.375 0.375 0.375
Ir2 0.375 0.375 0.874
Ir3 0.375 0.874 0.375
Ir4 0.874 0.375 0.375
Pt1 0.750 0.750 0.750

Properties
* raw total energy: -39.9 eV/cell
* ΔH_f (0 K): 0.655 eV per atom
* D(E_F): 12.8 states/eV/cell

=====

Record 3
## TlIrPt2 (PBE)

Data for a relaxed TlIrPt2 crystal.

Cell lengths 2.922, 4.811, 4.847 Å; angles 90.00, 90.00, 90.00 degrees
Element x y z (fractional)
Tl1 0.000 0.000 0.000
Ir1 0.500 0.500 0.000
Pt1 0.000 0.500 0.500
Pt2 0.500 0.000 0.500

Properties
* raw total energy: -22.2 eV/cell
* ΔH_f (0 K): 0.267 eV per atom
* ΔE to the lowest computed polymorph: 0.0762 eV/atom
* D(E_F): 3.6 states/eV/cell

=====

Record 4
## TlIrPt2 (PBE)

Data for a relaxed TlIrPt2 crystal.

Cell lengths 5.658, 5.658, 5.658 Å; angles 150.89, 128.29, 60.45 degrees
Element x y z (fractional)
Tl1 0.000 0.000 0.000
Ir1 0.253 0.753 0.500
Pt1 0.489 0.489 0.000
Pt2 0.741 0.241 0.500

Properties
* raw total energy: -22.3 eV/cell
* ΔH_f (0 K): 0.259 eV per atom
* ΔE to the lowest computed polymorph: 0.0677 eV/atom
* D(E_F): 3.3 states/eV/cell

=====

Record 5
## Tl2IrPt (PBE)

Data for a relaxed Tl2IrPt crystal.

Cell lengths 3.173, 3.844, 6.239 Å; angles 90.00, 90.00, 90.00 degrees
Element x y z (fractional)
Tl1 0.000 0.000 0.245
Tl2 0.000 0.000 0.755
Ir1 0.500 0.500 0.000
Pt1 0.500 0.500 0.500

Properties
* raw total energy: -18.2 eV/cell
* ΔH_f (0 K): 0.362 eV per atom
* ΔE to the lowest computed polymorph: 0.0784 eV/atom
* D(E_F): 1.3 states/eV/cell

=====

Record 6
## Tl2IrPt2 (PBE)

Data for a relaxed Tl2IrPt2 crystal.

Cell lengths 6.904, 6.904, 4.195 Å; angles 90.00, 90.00, 90.00 degrees
Element x y z (fractional)
Tl1 0.177 0.323 0.000
Tl2 0.323 0.823 0.000
Tl3 0.677 0.177 0.000
Tl4 0.823 0.677 0.000
Ir1 0.000 0.000 0.500
Ir2 0.500 0.500 0.500
Pt1 0.134 0.634 0.500
Pt2 0.366 0.134 0.500
Pt3 0.634 0.866 0.500
Pt4 0.866 0.366 0.500

Properties
* raw total energy: -47.8 eV/cell
* ΔH_f (0 K): 0.356 eV per atom
* D(E_F): 11.3 states/eV/cell

=====

Record 7
## Tl2IrPt (PBE)

Data for a relaxed Tl2IrPt crystal.

Cell lengths 4.651, 4.651, 5.650 Å; angles 101.62, 101.62, 41.30 degrees
Element x y z (fractional)
Tl1 0.249 0.249 0.247
Tl2 0.751 0.751 0.753
Ir1 0.500 0.500 0.000
Pt1 0.000 0.000 0.500

Properties
* raw total energy: -18.0 eV/cell
* ΔH_f (0 K): 0.415 eV per atom
* ΔE to the lowest computed polymorph: 0.1313 eV/atom
* D(E_F): 2.3 states/eV/cell

=====

Record 8
## Tm3IrPt (PBE)

Data for a relaxed Tm3IrPt crystal.

Cell lengths 3.963, 6.923, 8.739 Å; angles 90.00, 90.00, 90.00 degrees
Element x y z (fractional)
Tm1 0.250 0.017 0.177
Tm2 0.250 0.250 0.550
Tm3 0.250 0.483 0.177
Tm4 0.750 0.517 0.823
Tm5 0.750 0.750 0.450
Tm6 0.750 0.983 0.823
Ir1 0.250 0.750 0.664
Ir2 0.750 0.250 0.336
Pt1 0.250 0.250 0.903
Pt2 0.750 0.750 0.097

Properties
* raw total energy: -65.8 eV/cell
* ΔH_f (0 K): -0.915 eV per atom
* ΔE to the lowest computed polymorph: 0.0174 eV/atom
* D(E_F): 3.9 states/eV/cell

=====

Record 9
## Tm5Ir4Pt (PBE)

Data for a relaxed Tm5Ir4Pt crystal.

Cell lengths 3.339, 3.339, 17.493 Å; angles 90.00, 90.00, 90.00 degrees
Element x y z (fractional)
Tm1 0.000 0.000 0.000
Tm2 0.000 0.000 0.198
Tm3 0.000 0.000 0.397
Tm4 0.000 0.000 0.603
Tm5 0.000 0.000 0.802
Ir1 0.500 0.500 0.099
Ir2 0.500 0.500 0.299
Ir3 0.500 0.500 0.701
Ir4 0.500 0.500 0.901
Pt1 0.500 0.500 0.500

Properties
* raw total energy: -73.8 eV/cell
* ΔH_f (0 K): -0.991 eV per atom
* D(E_F): 4.2 states/eV/cell

=====

Record 10
## Tm5Ir2Pt (PBE)

Data for a relaxed Tm5Ir2Pt crystal.

Cell lengths 8.525, 8.525, 8.525 Å; angles 128.66, 128.66, 75.57 degrees
Element x y z (fractional)
Tm1 0.000 0.000 0.000
Tm2 0.027 0.527 0.837
Tm3 0.190 0.027 0.500
Tm4 0.310 0.810 0.837
Tm5 0.473 0.310 0.500
Tm6 0.500 0.500 0.000
Tm7 0.527 0.690 0.500
Tm8 0.690 0.190 0.163
Tm9 0.810 0.973 0.500
Tm10 0.973 0.473 0.163
Ir1 0.134 0.366 0.500
Ir2 0.366 0.866 0.232
Ir3 0.634 0.134 0.768
Ir4 0.866 0.634 0.500
Pt1 0.250 0.250 0.000
Pt2 0.750 0.750 0.000

Properties
* raw total energy: -107.0 eV/cell
* ΔH_f (0 K): -0.923 eV per atom
* D(E_F): 11.9 states/eV/cell

=====

Record 11
## Tm6IrPt5 (PBE)

Data for a relaxed Tm6IrPt5 crystal.

Cell lengths 8.417, 8.417, 4.853 Å; angles 106.70, 106.70, 120.04 degrees
Element x y z (fractional)
Tm1 0.083 0.414 0.749
Tm2 0.247 0.247 0.248
Tm3 0.414 0.083 0.749
Tm4 0.586 0.917 0.251
Tm5 0.753 0.753 0.752
Tm6 0.917 0.586 0.251
Ir1 0.000 0.000 0.500
Pt1 0.165 0.835 0.000
Pt2 0.332 0.668 0.500
Pt3 0.500 0.500 0.000
Pt4 0.668 0.332 0.500
Pt5 0.835 0.165 0.000

Properties
* raw total energy: -80.6 eV/cell
* ΔH_f (0 K): -1.229 eV per atom
* D(E_F): 4.9 states/eV/cell

=====

Record 12
## Tm4Ir2Pt (PBE)

Data for a relaxed Tm4Ir2Pt crystal.

Cell lengths 8.265, 8.265, 8.265 Å; angles 33.59, 33.59, 33.59 degrees
Element x y z (fractional)
Tm1 0.123 0.123 0.123
Tm2 0.373 0.373 0.373
Tm3 0.627 0.627 0.627
Tm4 0.877 0.877 0.877
Ir1 0.250 0.250 0.250
Ir2 0.750 0.750 0.750
Pt1 0.500 0.500 0.500

Properties
* raw total energy: -48.6 eV/cell
* ΔH_f (0 K): -0.998 eV per atom
* D(E_F): 2.9 states/eV/cell

=====

Record 13
## Tm6Ir2Pt (PBE)

Data for a relaxed Tm6Ir2Pt crystal.

Cell lengths 6.533, 7.322, 11.281 Å; angles 90.00, 122.95, 90.00 degrees
Element x y z (fractional)
Tm1 0.079 0.052 0.240
Tm2 0.079 0.448 0.740
Tm3 0.231 0.678 0.078
Tm4 0.231 0.822 0.578
Tm5 0.387 0.167 0.064
Tm6 0.387 0.333 0.564
Tm7 0.613 0.667 0.436
Tm8 0.613 0.833 0.936
Tm9 0.769 0.178 0.422
Tm10 0.769 0.322 0.922
Tm11 0.921 0.552 0.260
Tm12 0.921 0.948 0.760
Ir1 0.307 0.117 0.764
Ir2 0.307 0.383 0.264
Ir3 0.693 0.617 0.736
Ir4 0.693 0.883 0.236
Pt1 0.500 0.000 0.500
Pt2 0.500 0.500 0.000

Properties
* raw total energy: -114.8 eV/cell
* ΔH_f (0 K): -0.756 eV per atom
* D(E_F): 12.7 states/eV/cell

=====

Record 14
## Tm4IrPt (PBE)

Data for a relaxed Tm4IrPt crystal.

Cell lengths 8.266, 8.263, 6.744 Å; angles 65.94, 65.89, 48.16 degrees
Element x y z (fractional)
Tm1 0.000 0.500 0.247
Tm2 0.000 0.500 0.753
Tm3 0.246 0.753 0.500
Tm4 0.247 0.754 0.000
Tm5 0.500 0.000 0.246
Tm6 0.500 0.000 0.754
Tm7 0.753 0.246 0.000
Tm8 0.754 0.247 0.500
Ir1 0.125 0.125 0.125
Ir2 0.875 0.875 0.875
Pt1 0.375 0.375 0.375
Pt2 0.625 0.625 0.625

Properties
* raw total energy: -75.8 eV/cell
* ΔH_f (0 K): -0.853 eV per atom
* ΔE to the lowest computed polymorph: 0.0000 eV/atom
* D(E_F): 11.6 states/eV/cell

=====

Record 15
## Tm12IrPt6 (PBE)

Data for a relaxed Tm12IrPt6 crystal.

Cell lengths 8.129, 8.129, 8.129 Å; angles 99.76, 99.76, 99.76 degrees
Element x y z (fractional)
Tm1 0.048 0.926 0.678
Tm2 0.074 0.322 0.952
Tm3 0.177 0.578 0.422
Tm4 0.322 0.952 0.074
Tm5 0.422 0.177 0.578
Tm6 0.422 0.578 0.823
Tm7 0.578 0.422 0.177
Tm8 0.578 0.823 0.422
Tm9 0.678 0.048 0.926
Tm10 0.823 0.422 0.578
Tm11 0.926 0.678 0.048
Tm12 0.952 0.074 0.322
Ir1 0.000 0.000 0.000
Pt1 0.135 0.309 0.618
Pt2 0.309 0.618 0.135
Pt3 0.382 0.865 0.691
Pt4 0.618 0.135 0.309
Pt5 0.691 0.382 0.865
Pt6 0.865 0.691 0.382

Properties
* raw total energy: -116.7 eV/cell
* ΔH_f (0 K): -0.943 eV per atom
* D(E_F): 14.6 states/eV/cell

=====

Record 16
## TmIrPt (PBE)

Data for a relaxed TmIrPt crystal.

Cell lengths 7.006, 5.667, 5.743 Å; angles 90.00, 90.00, 90.00 degrees
Element x y z (fractional)
Tm1 0.145 0.250 0.110
Tm2 0.355 0.750 0.610
Tm3 0.645 0.250 0.390
Tm4 0.855 0.750 0.890
Ir1 0.000 0.000 0.500
Ir2 0.000 0.500 0.500
Ir3 0.500 0.000 0.000
Ir4 0.500 0.500 0.000
Pt1 0.197 0.750 0.157
Pt2 0.303 0.250 0.657
Pt3 0.697 0.750 0.343
Pt4 0.803 0.250 0.843

Properties
* raw total energy: -87.9 eV/cell
* ΔH_f (0 K): -0.864 eV per atom
* D(E_F): 5.8 states/eV/cell

=====

Record 17
## Tm7Ir2Pt2 (PBE)

Data for a relaxed Tm7Ir2Pt2 crystal.

Cell lengths 6.592, 6.592, 6.797 Å; angles 90.00, 90.00, 100.28 degrees
Element x y z (fractional)
Tm1 0.000 0.000 0.000
Tm2 0.000 0.500 0.257
Tm3 0.000 0.500 0.743
Tm4 0.500 0.000 0.257
Tm5 0.500 0.000 0.743
Tm6 0.500 0.500 0.254
Tm7 0.500 0.500 0.746
Ir1 0.277 0.723 0.000
Ir2 0.723 0.277 0.000
Pt1 0.233 0.233 0.500
Pt2 0.767 0.767 0.500

Properties
* raw total energy: -69.4 eV/cell
* ΔH_f (0 K): -0.750 eV per atom
* D(E_F): 9.6 states/eV/cell

=====

Record 18
## Tm8Ir3Pt2 (PBE)

Data for a relaxed Tm8Ir3Pt2 crystal.

Cell lengths 8.302, 8.302, 4.763 Å; angles 90.00, 90.00, 109.39 degrees
Element x y z (fractional)
Tm1 0.120 0.880 0.000
Tm2 0.128 0.372 0.500
Tm3 0.372 0.128 0.500
Tm4 0.376 0.624 0.000
Tm5 0.624 0.376 0.000
Tm6 0.628 0.872 0.500
Tm7 0.872 0.628 0.500
Tm8 0.880 0.120 0.000
Ir1 0.250 0.250 0.000
Ir2 0.500 0.500 0.500
Ir3 0.750 0.750 0.000
Pt1 0.248 0.752 0.500
Pt2 0.752 0.248 0.500

Properties
* raw total energy: -86.4 eV/cell
* ΔH_f (0 K): -0.920 eV per atom
* D(E_F): 8.6 states/eV/cell

=====

Record 19
## Tm5Ir2Pt2 (PBE)

Data for a relaxed Tm5Ir2Pt2 crystal.

Cell lengths 8.154, 8.154, 7.431 Å; angles 90.00, 90.00, 53.75 degrees
Element x y z (fractional)
Tm1 0.000 0.000 0.000
Tm2 0.038 0.692 0.669
Tm3 0.192 0.538 0.169
Tm4 0.308 0.962 0.669
Tm5 0.462 0.808 0.169
Tm6 0.500 0.500 0.500
Tm7 0.538 0.192 0.831
Tm8 0.692 0.038 0.331
Tm9 0.808 0.462 0.831
Tm10 0.962 0.308 0.331
Ir1 0.130 0.870 0.371
Ir2 0.370 0.630 0.871
Ir3 0.630 0.370 0.129
Ir4 0.870 0.130 0.629
Pt1 0.204 0.204 0.000
Pt2 0.296 0.296 0.500
Pt3 0.704 0.704 0.500
Pt4 0.796 0.796 0.000

Properties
* raw total energy: -123.3 eV/cell
* ΔH_f (0 K): -1.055 eV per atom
* D(E_F): 8.1 states/eV/cell

=====

Record 20
## Tm4IrPt (PBE)

Data for a relaxed Tm4IrPt crystal.

Cell lengths 4.772, 4.772, 6.732 Å; angles 90.00, 90.00, 90.00 degrees
Element x y z (fractional)
Tm1 0.000 0.500 0.246
Tm2 0.000 0.500 0.754
Tm3 0.500 0.000 0.246
Tm4 0.500 0.000 0.754
Ir1 0.000 0.000 0.000
Pt1 0.500 0.500 0.500

Properties
* raw total energy: -37.9 eV/cell
* ΔH_f (0 K): -0.850 eV per atom
* ΔE to the lowest computed polymorph: 0.0035 eV/atom
* D(E_F): 5.9 states/eV/cell